No. 1
! HoIn2I5 | Alexandria | GGA-PBE | optimized geometry; values from VASP
! Uncorrected energy: -3.130 eV/atom
! Uncorrected formation energy: -904 meV/atom
! Space group: Pnma
&SYSTEM
  ibrav = 0, nat = 32, ntyp = 3
/
ATOMIC_SPECIES
I 126.90 I.upf
Ho 164.93 Ho.upf
In 114.82 In.upf
ATOMIC_POSITIONS crystal
I 0.6735 0.0497 0.4398
I 0.0796 0.2500 0.5033
I 0.3610 0.2500 0.2924
I 0.1735 0.9503 0.0602
I 0.4204 0.2500 0.0033
I 0.0808 0.7500 0.8014
I 0.3265 0.9503 0.5602
I 0.5808 0.2500 0.6986
I 0.8610 0.7500 0.2076
I 0.8265 0.4503 0.9398
I 0.1390 0.2500 0.7924
I 0.6390 0.7500 0.7076
I 0.8265 0.0497 0.9398
I 0.1735 0.5497 0.0602
I 0.3265 0.5497 0.5602
I 0.5796 0.7500 0.9967
I 0.9204 0.7500 0.4967
I 0.4192 0.7500 0.3014
I 0.9192 0.2500 0.1986
I 0.6735 0.4503 0.4398
Ho 0.5784 0.7500 0.4936
Ho 0.0784 0.2500 0.0064
Ho 0.4216 0.2500 0.5064
Ho 0.9216 0.7500 0.9936
In 0.6013 0.4984 0.1688
In 0.1013 0.9984 0.3312
In 0.6013 0.0016 0.1688
In 0.3987 0.5016 0.8312
In 0.8987 0.4984 0.6688
In 0.3987 0.9984 0.8312
In 0.8987 0.0016 0.6688
In 0.1013 0.5016 0.3312
CELL_PARAMETERS angstrom
-8.0796 0.3215 -4.8351
-4.9252 -0.6324 8.1881
-0.0656 13.9019 1.0342

No. 2
! HoIn3I6 | Alexandria | GGA-PBE | optimized geometry; values from VASP
! Uncorrected energy: -3.034 eV/atom
! Uncorrected formation energy: -825 meV/atom
! Space group: P2_1/c
&SYSTEM
  ibrav = 0, nat = 20, ntyp = 3
/
ATOMIC_SPECIES
I 126.90 I.upf
Ho 164.93 Ho.upf
In 114.82 In.upf
ATOMIC_POSITIONS crystal
I 0.3456 0.7798 0.4200
I 0.6503 0.4391 0.2626
I 0.6886 0.1660 0.9525
I 0.3114 0.8340 0.0475
I 0.1886 0.3340 0.4525
I 0.8497 0.9391 0.2374
I 0.8456 0.7202 0.9200
I 0.1544 0.2798 0.0800
I 0.1503 0.0609 0.7626
I 0.6544 0.2202 0.5800
I 0.8114 0.6660 0.5475
I 0.3497 0.5609 0.7374
Ho 0.5000 0.5000 0.5000
Ho 0.0000 0.0000 0.0000
In 0.5000 0.5000 0.0000
In 0.0000 0.0000 0.5000
In 0.5343 0.9006 0.7803
In 0.9657 0.4006 0.7197
In 0.0343 0.5994 0.2803
In 0.4657 0.0994 0.2197
CELL_PARAMETERS angstrom
8.0689 0.0000 0.3743
0.0000 9.1706 0.0000
0.4452 0.0000 11.8695

No. 3
! HoInI4 | Alexandria | GGA-PBE | optimized geometry; values from VASP
! Uncorrected energy: -3.321 eV/atom
! Uncorrected formation energy: -1068 meV/atom
! Space group: C2/m
&SYSTEM
  ibrav = 0, nat = 6, ntyp = 3
/
ATOMIC_SPECIES
Ho 164.93 Ho.upf
I 126.90 I.upf
In 114.82 In.upf
ATOMIC_POSITIONS crystal
Ho 0.0000 0.0001 0.0001
I 0.1193 0.2386 0.3159
I 0.6157 0.2316 0.8956
I 0.8808 0.7614 0.6842
I 0.3842 0.7685 0.1043
In 0.4999 0.9997 0.4999
CELL_PARAMETERS angstrom
-1.5376 -0.9089 -4.1070
-1.2648 -6.4617 4.3438
-7.2155 4.5004 1.7060

No. 4
! Ho2InI | Alexandria | GGA-PBE | optimized geometry; values from VASP
! Uncorrected energy: -3.837 eV/atom
! Uncorrected formation energy: -476 meV/atom
! Space group: R-3m
&SYSTEM
  ibrav = 0, nat = 4, ntyp = 3
/
ATOMIC_SPECIES
I 126.90 I.upf
Ho 164.93 Ho.upf
In 114.82 In.upf
ATOMIC_POSITIONS crystal
I 0.5000 0.5000 0.5000
Ho 0.7385 0.7385 0.7845
Ho 0.2615 0.2615 0.2155
In 0.0000 0.0000 0.0000
CELL_PARAMETERS angstrom
4.4320 0.0000 0.0000
2.2160 3.8382 0.0000
2.2160 1.2794 7.2874

No. 5
! HoIn2I8 | Alexandria | GGA-PBE | optimized geometry; values from VASP
! Uncorrected energy: -2.784 eV/atom
! Uncorrected formation energy: -743 meV/atom
! Space group: C2/m
&SYSTEM
  ibrav = 0, nat = 11, ntyp = 3
/
ATOMIC_SPECIES
Ho 164.93 Ho.upf
I 126.90 I.upf
In 114.82 In.upf
ATOMIC_POSITIONS crystal
Ho 0.0000 0.0000 0.0000
I 0.2100 0.9021 0.2675
I 0.8488 0.6107 0.6107
I 0.2746 0.8094 0.8094
I 0.1512 0.3893 0.3893
I 0.7254 0.1906 0.1906
I 0.7900 0.7325 0.0979
I 0.7900 0.0979 0.7325
I 0.2100 0.2675 0.9021
In 0.3293 0.1999 0.1999
In 0.6707 0.8001 0.8001
CELL_PARAMETERS angstrom
7.4384 0.5482 0.4159
0.7626 9.1561 -0.3312
0.7626 2.1465 8.9071

No. 6
! Ho2InI2 | Alexandria | GGA-PBE | optimized geometry; values from VASP
! Uncorrected energy: -3.897 eV/atom
! Uncorrected formation energy: -898 meV/atom
! Space group: R-3m
&SYSTEM
  ibrav = 0, nat = 5, ntyp = 3
/
ATOMIC_SPECIES
I 126.90 I.upf
Ho 164.93 Ho.upf
In 114.82 In.upf
ATOMIC_POSITIONS crystal
I 0.7759 0.7759 0.6724
I 0.2241 0.2241 0.3276
Ho 0.6122 0.6122 0.1634
Ho 0.3878 0.3878 0.8366
In 0.0000 0.0000 0.0000
CELL_PARAMETERS angstrom
3.9994 0.0000 0.9320
1.8911 3.5240 0.9320
-0.7763 -0.4644 12.3788

No. 7
! HoIn5I8 | Alexandria | GGA-PBE | optimized geometry; values from VASP
! Uncorrected energy: -2.898 eV/atom
! Uncorrected formation energy: -707 meV/atom
! Space group: C2
&SYSTEM
  ibrav = 0, nat = 14, ntyp = 3
/
ATOMIC_SPECIES
I 126.90 I.upf
Ho 164.93 Ho.upf
In 114.82 In.upf
ATOMIC_POSITIONS crystal
I 0.5275 0.2817 0.6842
I 0.6749 0.3407 0.2639
I 0.1182 0.8412 0.2113
I 0.5974 0.8433 0.3158
I 0.1533 0.9081 0.6862
I 0.2219 0.4671 0.3138
I 0.6299 0.9069 0.7887
I 0.0768 0.4110 0.7361
Ho 0.3745 0.8745 0.5000
In 0.9224 0.1464 0.3189
In 0.8747 0.3742 0.9991
In 0.8275 0.6036 0.6811
In 0.3759 0.3759 0.0000
In 0.3751 0.8756 0.0009
CELL_PARAMETERS angstrom
-4.4743 1.3244 8.1464
-6.5492 0.1507 -6.7248
4.7688 -8.2606 1.3336

No. 8
! HoInI | Alexandria | GGA-PBE | optimized geometry; values from VASP
! Uncorrected energy: -3.410 eV/atom
! Uncorrected formation energy: -455 meV/atom
! Space group: P2_1/m
&SYSTEM
  ibrav = 0, nat = 6, ntyp = 3
/
ATOMIC_SPECIES
I 126.90 I.upf
Ho 164.93 Ho.upf
In 114.82 In.upf
ATOMIC_POSITIONS crystal
I 0.2500 0.3633 0.3247
I 0.7500 0.6367 0.6753
Ho 0.7500 0.1745 0.5978
Ho 0.2500 0.8255 0.4022
In 0.2500 0.0546 0.8780
In 0.7500 0.9454 0.1220
CELL_PARAMETERS angstrom
-1.5114 -0.6864 -3.5925
5.4438 -2.2636 -1.8577
-0.2402 -8.7283 1.7711

No. 9
! KHoIn2I6 | Alexandria | GGA-PBE | optimized geometry; values from VASP
! Uncorrected energy: -3.076 eV/atom
! Uncorrected formation energy: -1030 meV/atom
! Space group: R3
&SYSTEM
  ibrav = 0, nat = 10, ntyp = 4
/
ATOMIC_SPECIES
In 114.82 In.upf
I 126.90 I.upf
K 39.10 K.upf
Ho 164.93 Ho.upf
ATOMIC_POSITIONS crystal
In 0.5203 0.5202 0.4395
In 0.0117 0.0118 0.9650
I 0.1257 0.4163 0.7710
I 0.6871 0.1256 0.7711
I 0.9759 0.5631 0.2431
I 0.2179 0.9759 0.2432
I 0.4163 0.6870 0.7709
I 0.5629 0.2180 0.2432
K 0.8180 0.8181 0.5457
Ho 0.3258 0.3258 0.0226
CELL_PARAMETERS angstrom
-6.2706 5.3347 2.4349
-3.9826 -1.1964 7.5102
1.6173 5.7626 6.6846

No. 10
! Li2HoInI6 | Alexandria | GGA-PBE | optimized geometry; values from VASP
! Uncorrected energy: -3.137 eV/atom
! Uncorrected formation energy: -1093 meV/atom
! Space group: R3
&SYSTEM
  ibrav = 0, nat = 10, ntyp = 4
/
ATOMIC_SPECIES
I 126.90 I.upf
Ho 164.93 Ho.upf
Li 6.94 Li.upf
In 114.82 In.upf
ATOMIC_POSITIONS crystal
I 0.5894 0.2586 0.2346
I 0.3578 0.7401 0.7550
I 0.9174 0.5894 0.2347
I 0.7402 0.1470 0.7551
I 0.1471 0.3577 0.7553
I 0.2586 0.9172 0.2347
Ho 0.3257 0.3255 0.0233
Li 0.0028 0.0030 0.9903
Li 0.5092 0.5099 0.4715
In 0.8133 0.8131 0.5606
CELL_PARAMETERS angstrom
7.8148 -0.0001 0.0014
3.9072 6.7657 0.0012
3.9080 2.2560 7.1964

No. 11
! NaHoIn2I6 | Alexandria | GGA-PBE | optimized geometry; values from VASP
! Uncorrected energy: -3.046 eV/atom
! Uncorrected formation energy: -979 meV/atom
! Space group: R3
&SYSTEM
  ibrav = 0, nat = 10, ntyp = 4
/
ATOMIC_SPECIES
I 126.90 I.upf
Ho 164.93 Ho.upf
In 114.82 In.upf
Na 22.99 Na.upf
ATOMIC_POSITIONS crystal
I 0.1041 0.4534 0.7683
I 0.9845 0.5721 0.2586
I 0.1848 0.9845 0.2586
I 0.5721 0.1848 0.2586
I 0.6743 0.1041 0.7683
I 0.4533 0.6743 0.7682
Ho 0.3246 0.3246 0.0263
In 0.0194 0.0194 0.9419
In 0.5261 0.5260 0.4220
Na 0.8185 0.8185 0.5445
CELL_PARAMETERS angstrom
-2.6695 6.5987 -4.5240
-4.3102 -1.2477 -7.1415
-8.4686 1.8355 -0.1917

No. 12
! HoIn2IO8 | Alexandria | GGA-PBE | optimized geometry; values from VASP
! Uncorrected energy: -5.731 eV/atom
! Uncorrected formation energy: -1459 meV/atom
! Space group: P2/m
&SYSTEM
  ibrav = 0, nat = 12, ntyp = 4
/
ATOMIC_SPECIES
O 16.00 O.upf
In 114.82 In.upf
Ho 164.93 Ho.upf
I 126.90 I.upf
ATOMIC_POSITIONS crystal
O 0.1816 0.8171 0.2107
O 0.3108 0.3097 0.5000
O 0.2835 0.2820 0.0000
O 0.6892 0.6903 0.5000
O 0.8184 0.1829 0.7893
O 0.7165 0.7180 0.0000
O 0.8184 0.1829 0.2107
O 0.1816 0.8171 0.7893
In 0.5000 0.5000 0.7487
In 0.5000 0.5000 0.2513
Ho 0.0000 0.0000 0.5000
I 0.0000 0.0000 0.0000
CELL_PARAMETERS angstrom
4.9270 -0.0511 -0.0028
-0.0301 4.9242 -0.0055
0.0040 0.0075 6.6965

No. 13
! HoInSn2I8 | Alexandria | GGA-PBE | optimized geometry; values from VASP
! Uncorrected energy: -3.060 eV/atom
! Uncorrected formation energy: -750 meV/atom
! Space group: P2/m
&SYSTEM
  ibrav = 0, nat = 12, ntyp = 4
/
ATOMIC_SPECIES
In 114.82 In.upf
Sn 118.71 Sn.upf
I 126.90 I.upf
Ho 164.93 Ho.upf
ATOMIC_POSITIONS crystal
In 0.0000 0.0000 0.5000
Sn 0.5000 0.4999 0.7489
Sn 0.5000 0.5001 0.2511
I 0.8434 0.2440 0.2252
I 0.8437 0.2442 0.7747
I 0.3224 0.2376 0.0000
I 0.1563 0.7558 0.2253
I 0.6431 0.7284 0.4998
I 0.3569 0.2716 0.5002
I 0.6776 0.7624 0.0000
I 0.1566 0.7560 0.7748
Ho 0.0000 0.0000 0.0000
CELL_PARAMETERS angstrom
7.7487 0.0502 -0.0041
0.0982 7.2971 -0.0066
0.0079 0.0134 9.5238

No. 14
! HoTl2InI6 | Alexandria | GGA-PBE | optimized geometry; values from VASP
! Uncorrected energy: -3.041 eV/atom
! Uncorrected formation energy: -906 meV/atom
! Space group: P1
&SYSTEM
  ibrav = 0, nat = 10, ntyp = 4
/
ATOMIC_SPECIES
In 114.82 In.upf
Tl 204.38 Tl.upf
I 126.90 I.upf
Ho 164.93 Ho.upf
ATOMIC_POSITIONS crystal
In 0.8182 0.8186 0.5447
Tl 0.0151 0.0152 0.9556
Tl 0.5254 0.5244 0.4253
I 0.6786 0.1145 0.7742
I 0.9815 0.5637 0.2479
I 0.1154 0.4332 0.7738
I 0.5623 0.2069 0.2486
I 0.4330 0.6778 0.7730
I 0.2068 0.9819 0.2485
Ho 0.3254 0.3254 0.0236
CELL_PARAMETERS angstrom
-0.1422 -7.6924 3.8359
6.3529 -5.6267 -1.3750
5.8188 -1.6293 6.6109

No. 15
! HoTlIn2I6 | Alexandria | GGA-PBE | optimized geometry; values from VASP
! Uncorrected energy: -3.036 eV/atom
! Uncorrected formation energy: -864 meV/atom
! Space group: P1
&SYSTEM
  ibrav = 0, nat = 10, ntyp = 4
/
ATOMIC_SPECIES
I 126.90 I.upf
Ho 164.93 Ho.upf
In 114.82 In.upf
Tl 204.38 Tl.upf
ATOMIC_POSITIONS crystal
I 0.5628 0.2168 0.2438
I 0.1234 0.4202 0.7704
I 0.9759 0.5642 0.2432
I 0.2166 0.9764 0.2438
I 0.4200 0.6861 0.7702
I 0.6868 0.1223 0.7710
Ho 0.3258 0.3257 0.0226
In 0.0112 0.0114 0.9667
In 0.5215 0.5207 0.4371
Tl 0.8175 0.8179 0.5465
CELL_PARAMETERS angstrom
8.5701 0.0084 0.0026
4.2924 7.4148 0.0032
4.2894 2.4768 7.4721

No. 16
! Ho4IrI5 | Alexandria | GGA-PBE | optimized geometry; values from VASP
! Uncorrected energy: -4.659 eV/atom
! Uncorrected formation energy: -1167 meV/atom
! Space group: C2/m
&SYSTEM
  ibrav = 0, nat = 10, ntyp = 3
/
ATOMIC_SPECIES
Ho 164.93 Ho.upf
I 126.90 I.upf
Ir 192.22 Ir.upf
ATOMIC_POSITIONS crystal
Ho 0.0007 0.2000 0.0013
Ho 0.6416 0.0728 0.2832
Ho 0.3584 0.9272 0.7168
Ho 0.9993 0.8000 0.9987
I 0.8218 0.1670 0.6437
I 0.8320 0.6586 0.6640
I 0.1782 0.8330 0.3564
I 0.5000 0.5000 0.0000
I 0.1680 0.3414 0.3360
Ir 0.5000 0.0000 0.0000
CELL_PARAMETERS angstrom
-3.9952 -0.4793 0.9420
0.7221 -8.7371 -1.3829
4.1531 1.0280 9.0717

No. 17
! Ho2IrI2 | Alexandria | GGA-PBE | optimized geometry; values from VASP
! Uncorrected energy: -5.298 eV/atom
! Uncorrected formation energy: -1075 meV/atom
! Space group: C2/m
&SYSTEM
  ibrav = 0, nat = 5, ntyp = 3
/
ATOMIC_SPECIES
I 126.90 I.upf
Ho 164.93 Ho.upf
Ir 192.22 Ir.upf
ATOMIC_POSITIONS crystal
I 0.4468 0.9124 0.1941
I 0.5532 0.0876 0.8059
Ho 0.2866 0.8005 0.6264
Ho 0.7134 0.1995 0.3736
Ir 0.0000 0.5000 0.5000
CELL_PARAMETERS angstrom
4.0541 0.0000 0.7569
1.9701 3.5595 0.6836
-0.1339 -0.0963 11.9530

No. 18
! NdHoIrI | Alexandria | GGA-PBE | optimized geometry; values from VASP
! Uncorrected energy: -5.892 eV/atom
! Uncorrected formation energy: -953 meV/atom
! Space group: R3m
&SYSTEM
  ibrav = 0, nat = 4, ntyp = 4
/
ATOMIC_SPECIES
I 126.90 I.upf
Ho 164.93 Ho.upf
Ir 192.22 Ir.upf
Nd 144.24 Nd.upf
ATOMIC_POSITIONS crystal
I 0.9636 0.3799 0.3583
Ho 0.0896 0.9427 0.0477
Ir 0.3091 0.5524 0.8769
Nd 0.5157 0.1558 0.6868
CELL_PARAMETERS angstrom
4.1603 -0.0005 -0.0003
-2.0797 3.6030 0.0000
-2.0801 -1.2006 8.0137

No. 19
! PrHoIrI | Alexandria | GGA-PBE | optimized geometry; values from VASP
! Uncorrected energy: -5.890 eV/atom
! Uncorrected formation energy: -948 meV/atom
! Space group: R3m
&SYSTEM
  ibrav = 0, nat = 4, ntyp = 4
/
ATOMIC_SPECIES
Pr 140.91 Pr.upf
I 126.90 I.upf
Ir 192.22 Ir.upf
Ho 164.93 Ho.upf
ATOMIC_POSITIONS crystal
Pr 0.5153 0.1556 0.6862
I 0.9630 0.3797 0.3574
Ir 0.3101 0.5529 0.8784
Ho 0.0896 0.9427 0.0477
CELL_PARAMETERS angstrom
4.1716 -0.0005 -0.0004
-2.0854 3.6129 0.0000
-2.0859 -1.2038 8.0493

No. 20
! TbHoIrI | Alexandria | GGA-PBE | optimized geometry; values from VASP
! Uncorrected energy: -5.871 eV/atom
! Uncorrected formation energy: -967 meV/atom
! Space group: R3m
&SYSTEM
  ibrav = 0, nat = 4, ntyp = 4
/
ATOMIC_SPECIES
I 126.90 I.upf
Tb 158.93 Tb.upf
Ho 164.93 Ho.upf
Ir 192.22 Ir.upf
ATOMIC_POSITIONS crystal
I 0.9658 0.3811 0.3615
Tb 0.5181 0.1569 0.6905
Ho 0.0892 0.9425 0.0470
Ir 0.3048 0.5503 0.8706
CELL_PARAMETERS angstrom
4.1241 -0.0006 -0.0005
-2.0616 3.5718 -0.0001
-2.0622 -1.1905 7.8823

Number 1: V 39.30 A^3/atom. Number 2: V 43.84 A^3/atom. Number 3: V 48.07 A^3/atom. Number 4: V 30.99 A^3/atom. Number 5: V 55.08 A^3/atom. Number 6: V 35.59 A^3/atom. Number 7: V 46.54 A^3/atom. Number 8: V 34.92 A^3/atom. Number 9: V 47.72 A^3/atom. Number 10: V 38.05 A^3/atom. Number 11: V 44.16 A^3/atom. Number 12: V 13.54 A^3/atom. Number 13: V 44.87 A^3/atom. Number 14: V 47.61 A^3/atom. Number 15: V 47.44 A^3/atom. Number 16: V 35.18 A^3/atom. Number 17: V 34.59 A^3/atom. Number 18: V 30.03 A^3/atom. Number 19: V 30.33 A^3/atom. Number 20: V 29.02 A^3/atom.